Entry 1:
{
  "formula": "RbSnHgN2",
  "functional": "PBE",
  "state": "optimized geometry",
  "e_form_raw_ev_per_atom": 0.952,
  "spacegroup": "P4/mmm",
  "lattice": [[4.4358, 0.0000, 0.0000], [0.0000, 4.4358, 0.0000], [0.0000, 0.0000, 5.6950]],
  "species": ["Rb", "Sn", "Hg", "N", "N"],
  "frac_coords": [[0.0000, 0.0000, 0.0000], [0.5000, 0.5000, 0.5000], [0.5000, 0.5000, 0.0000], [0.0000, 0.5000, 0.5000], [0.5000, 0.0000, 0.5000]]
}

Entry 2:
{
  "formula": "MgZnBi",
  "functional": "PBE",
  "state": "optimized geometry",
  "ef_ev_per_atom": 0.054,
  "spacegroup": "P3m1",
  "lattice": [[4.5097, 0.0000, 0.0000], [-2.2549, 3.9055, 0.0000], [0.0000, 0.0000, 4.2360]],
  "species": ["Mg", "Zn", "Bi"],
  "frac_coords": [[0.0000, 0.0000, 0.0000], [0.6667, 0.3333, 0.2669], [0.3333, 0.6667, 0.5563]]
}

Number 1: E -3.43 eV/atom. Number 2: E -2.20 eV/atom.